Record 1
! PrAlZn2Cu2 (PBE-GGA, relaxed); values from VASP
&SYSTEM
  ibrav = 0, nat = 6, ntyp = 4
/
ATOMIC_SPECIES
Pr 140.91 Pr.upf
Al 26.98 Al.upf
Zn 65.41 Zn.upf
Cu 63.55 Cu.upf
ATOMIC_POSITIONS crystal
Pr 0.000 0.000 0.500
Al 0.000 0.000 0.000
Zn 0.500 0.500 0.738
Zn 0.500 0.500 0.262
Cu 0.500 0.000 0.000
Cu 0.000 0.500 0.000
CELL_PARAMETERS angstrom
4.468 0.000 0.000
0.000 4.468 0.000
0.000 0.000 5.779
! Total magnetization ... 0.00 Bohr magnetons per cell
! Calculated formation energy ... 0.01 eV/atom
! Calculated total energy ... -19.22 eV per cell
! Space group ... P4/mmm (123)

Record 2
! NiP2PbCl (PBE-GGA, relaxed); values from VASP
&SYSTEM
  ibrav = 0, nat = 5, ntyp = 4
/
ATOMIC_SPECIES
Pb 207.20 Pb.upf
Ni 58.69 Ni.upf
P 30.97 P.upf
Cl 35.45 Cl.upf
ATOMIC_POSITIONS crystal
Pb 0.000 0.000 0.000
Ni 0.500 0.500 0.500
P 0.000 0.500 0.000
P 0.500 0.000 0.000
Cl 0.000 0.000 0.500
CELL_PARAMETERS angstrom
5.251 0.000 0.000
0.000 5.251 0.000
0.000 0.000 5.334
! Total magnetization ... 2.34 Bohr magnetons per cell
! Polymorph energy (0 for the lowest one) ... 1228 meV per atom
! Formation energy from raw total energies ... 1.35 eV/atom
! Calculated total energy ... -15.39 eV per cell
! Space group ... P4/mmm (123)

Record 3
! LaNb2Tl (PBE-GGA, relaxed); values from VASP
&SYSTEM
  ibrav = 0, nat = 8, ntyp = 3
/
ATOMIC_SPECIES
Tl 204.38 Tl.upf
Nb 92.91 Nb.upf
La 138.91 La.upf
ATOMIC_POSITIONS crystal
Tl 0.000 0.000 0.000
Tl 0.750 0.250 0.500
Nb 0.650 0.125 0.250
Nb 0.100 0.625 0.250
Nb 0.375 0.350 0.750
Nb 0.875 0.900 0.750
La 0.500 0.500 0.000
La 0.250 0.750 0.500
CELL_PARAMETERS angstrom
8.212 0.000 0.000
0.000 8.212 0.000
4.106 4.106 3.007
! Total magnetization ... 0.00 Bohr magnetons per cell
! Polymorph energy (0 for the lowest one) ... 361 meV per atom
! Calculated formation energy ... 0.89 eV/atom
! Calculated total energy ... -47.76 eV per cell
! Space group ... I-42d (122)

Record 4
! Zr2CdSb (PBE-GGA, relaxed); values from VASP
&SYSTEM
  ibrav = 0, nat = 4, ntyp = 3
/
ATOMIC_SPECIES
Cd 112.41 Cd.upf
Sb 121.76 Sb.upf
Zr 91.22 Zr.upf
ATOMIC_POSITIONS crystal
Cd 0.500 0.500 0.250
Sb 0.500 0.500 0.750
Zr 0.000 0.000 0.989
Zr 0.000 0.000 0.511
CELL_PARAMETERS angstrom
-1.209 -0.783 -2.964
-0.628 -2.782 1.652
-7.555 3.055 2.273
! Total magnetization ... 0.00 Bohr magnetons per cell
! Polymorph energy (0 for the lowest one) ... 88 meV per atom
! Formation energy from raw total energies ... -0.24 eV/atom
! Calculated total energy ... -23.11 eV per cell
! Space group ... Cmmm (65)